Li5Mg12Ir3: relaxed, GGA-PBE.

Summary:
**ΔE_f**: 0.29 eV/atom
**M_tot**: 0.0000 μB per atom

CIF file:
```
data_Li5Mg12Ir3
_cell_length_a 15.601
_cell_length_b 15.601
_cell_length_c 15.601
_cell_angle_alpha 90.00
_cell_angle_beta 90.00
_cell_angle_gamma 90.00
_space_group_name_H-M_alt 'I a -3 d'
_space_group_IT_number 230
_space_group_name_Hall '-I 4bd 2c 3'
loop_
_atom_site_label
_atom_site_type_symbol
_atom_site_fract_x
_atom_site_fract_y
_atom_site_fract_z
Li1 Li 0.000 0.000 0.000
Li2 Li 0.000 0.250 0.375
Mg1 Mg 0.011 0.084 0.652
Ir1 Ir 0.000 0.250 0.125
```